# 1
VASP calculation (PBE-GGA) on a relaxed structure of UAsN.

Lattice parameters (Å, degrees): 3.747 3.747 8.434 90.00 90.00 120.00
Positions (direct):
U 0.333 0.667 0.250
U 0.667 0.333 0.750
As 0.000 0.000 0.000
As 0.000 0.000 0.500
N 0.333 0.667 0.750
N 0.667 0.333 0.250

Results
Spin magnetization: 0.00 Bohr magnetons per cell
ρ: 10.586 g cm⁻³
Energy relative to the elements, uncorrected: -80.5 kJ per mole of atoms
Energy relative to the lowest polymorph listed for this composition: 230 meV/atom

***

# 2
VASP calculation (PBE-GGA) on a relaxed structure of UAsN.

Lattice parameters (Å, degrees): 6.096 6.096 6.096 150.77 150.77 41.81
Positions (direct):
U 0.000 0.000 0.000
As 0.278 0.278 0.000
N 0.556 0.556 0.000

Results
Spin magnetization: 1.53 Bohr magnetons per cell
ρ: 10.074 g cm⁻³
Energy relative to the elements, uncorrected: -50.6 kJ per mole of atoms
Energy relative to the lowest polymorph listed for this composition: 540 meV/atom